Compound: AlCrP2O
Source: Alexandria
Functional: PBE+U
Structure: optimized geometry

Unit cell a=4.799 b=4.799 c=3.511 alpha=90.00 beta=90.00 gamma=90.00
Space group P4/mmm (No. 123)
Unique sites:
Al 0.000 0.000 0.000 [1 per cell]
Cr 0.500 0.500 0.500 [1 per cell]
P 0.000 0.500 0.500 [2 per cell]
O 0.500 0.500 0.000 [1 per cell]

Calculated values
The calculation puts the total magnetization at 0.279 μB/atom. The calculation puts the calculated total energy at -5.323 eV/atom. The relative energy among the computed polymorphs comes out at 5.79 kcal/mol of atoms.